[1]
# Y4HgRu3

A relaxed structure of Y4HgRu3 (PBE-GGA, the Alexandria database).

Lattice parameters (Å, degrees): 4.899 7.069 9.798 90.00 90.00 90.00
Element x y z (fractional)
Y: 0.000 0.236 0.250
Y: 0.500 0.236 0.500
Y: 0.500 0.236 0.000
Y: 0.500 0.764 0.000
Y: 0.000 0.236 0.750
Y: 0.000 0.764 0.750
Ru: 0.000 0.000 0.500
Y: 0.500 0.764 0.500
Ru: 0.000 0.000 0.000
Ru: 0.500 0.500 0.250
Ru: 0.500 0.000 0.250
Ru: 0.500 0.500 0.750
Y: 0.000 0.764 0.250
Ru: 0.500 0.000 0.750
Hg: 0.000 0.500 0.000
Hg: 0.000 0.500 0.500

ΔH_f (0 K) in eV/f.u.: -2.90
Density of states at the Fermi level in states/eV/f.u.: 2.545


[2]
# YHgRu2

A relaxed structure of YHgRu2 (PBE-GGA, the Alexandria database).

Lattice parameters (Å, degrees): 2.984 3.674 7.022 90.00 90.00 90.00
Element x y z (fractional)
Ru: 0.000 0.000 0.048
Ru: 0.500 0.500 0.197
Y: 0.000 0.000 0.472
Hg: 0.500 0.500 0.784

ΔH_f (0 K) in eV/f.u.: 0.26
Density of states at the Fermi level in states/eV/f.u.: 4.089


[3]
# YHgRu2

A relaxed structure of YHgRu2 (PBE-GGA, the Alexandria database).

Lattice parameters (Å, degrees): 4.648 3.221 5.395 86.79 90.00 90.00
Element x y z (fractional)
Y: 0.500 0.250 0.250
Ru: 0.000 0.700 0.467
Hg: 0.500 0.750 0.750
Ru: 0.000 0.800 0.033

ΔH_f (0 K) in eV/f.u.: 0.97
Density of states at the Fermi level in states/eV/f.u.: 2.087


[4]
# YHgRu3

A relaxed structure of YHgRu3 (PBE-GGA, the Alexandria database).

Lattice parameters (Å, degrees): 4.918 4.918 4.918 90.00 90.00 90.00
Element x y z (fractional)
Ru: 0.000 0.000 0.500
Ru: 0.500 0.000 0.000
Ru: 0.000 0.500 0.000
Hg: 0.500 0.500 0.500
Y: 0.000 0.000 0.000

ΔH_f (0 K) in eV/f.u.: 9.30
Distance to the lowest polymorph of the same formula in meV/atom: 259.5
Density of states at the Fermi level in states/eV/f.u.: 4.791


[5]
# YHgRu2

A relaxed structure of YHgRu2 (PBE-GGA, the Alexandria database).

Lattice parameters (Å, degrees): 3.011 3.011 8.890 90.00 90.00 112.28
Element x y z (fractional)
Ru: 0.000 0.000 0.496
Y: 0.500 0.500 0.250
Ru: 0.000 0.000 0.004
Hg: 0.500 0.500 0.750

ΔH_f (0 K) in eV/f.u.: 1.80
Density of states at the Fermi level in states/eV/f.u.: 4.855


[6]
# Y5Hg2Ru2

A relaxed structure of Y5Hg2Ru2 (PBE-GGA, the Alexandria database).

Lattice parameters (Å, degrees): 7.404 7.572 8.894 90.00 65.40 90.00
Element x y z (fractional)
Y: 0.945 0.321 0.753
Hg: 0.219 0.000 0.562
Y: 0.697 0.321 0.247
Ru: 0.118 0.377 0.000
Ru: 0.882 0.623 0.000
Y: 0.197 0.179 0.247
Y: 0.303 0.679 0.753
Y: 0.500 0.500 0.000
Y: 0.803 0.821 0.753
Hg: 0.719 0.500 0.562
Hg: 0.281 0.500 0.438
Y: 0.555 0.821 0.247
Ru: 0.382 0.877 0.000
Y: 0.055 0.679 0.247
Hg: 0.781 0.000 0.438
Y: 0.000 0.000 0.000
Y: 0.445 0.179 0.753
Ru: 0.618 0.123 0.000

ΔH_f (0 K) in eV/f.u.: -3.75
Density of states at the Fermi level in states/eV/f.u.: 6.558


[7]
# Y2HgRu2

A relaxed structure of Y2HgRu2 (PBE-GGA, the Alexandria database).

Lattice parameters (Å, degrees): 7.163 7.163 4.165 90.00 90.00 90.00
Element x y z (fractional)
Hg: 0.500 0.500 0.000
Y: 0.323 0.177 0.500
Ru: 0.877 0.623 0.000
Hg: 0.000 0.000 0.000
Ru: 0.623 0.123 0.000
Y: 0.177 0.677 0.500
Y: 0.677 0.823 0.500
Ru: 0.377 0.877 0.000
Ru: 0.123 0.377 0.000
Y: 0.823 0.323 0.500

ΔH_f (0 K) in eV/f.u.: -1.35
Density of states at the Fermi level in states/eV/f.u.: 4.898


[8]
# YHg3Ru

A relaxed structure of YHg3Ru (PBE-GGA, the Alexandria database).

Lattice parameters (Å, degrees): 5.143 5.143 5.143 90.00 90.00 90.00
Element x y z (fractional)
Hg: 0.000 0.000 0.500
Hg: 0.000 0.500 0.000
Y: 0.500 0.500 0.500
Hg: 0.500 0.000 0.000
Ru: 0.000 0.000 0.000

ΔH_f (0 K) in eV/f.u.: 1.96
Distance to the lowest polymorph of the same formula in meV/atom: 0.0
Density of states at the Fermi level in states/eV/f.u.: 3.729


[9]
# YHgRu2

A relaxed structure of YHgRu2 (PBE-GGA, the Alexandria database).

Lattice parameters (Å, degrees): 4.746 4.746 4.746 60.00 60.00 60.00
Element x y z (fractional)
Ru: 0.250 0.250 0.250
Y: 0.750 0.750 0.750
Hg: 0.500 0.500 0.500
Ru: 0.000 0.000 0.000

ΔH_f (0 K) in eV/f.u.: 0.97
Density of states at the Fermi level in states/eV/f.u.: 3.803


[10]
# Y4Hg3Ru

A relaxed structure of Y4Hg3Ru (PBE-GGA, the Alexandria database).

Lattice parameters (Å, degrees): 3.578 3.578 15.210 90.00 90.00 90.00
Element x y z (fractional)
Ru: 0.500 0.500 0.000
Y: 0.000 0.000 0.107
Y: 0.000 0.000 0.371
Hg: 0.500 0.500 0.243
Hg: 0.500 0.500 0.500
Hg: 0.500 0.500 0.757
Y: 0.000 0.000 0.893
Y: 0.000 0.000 0.629

ΔH_f (0 K) in eV/f.u.: -3.82
Density of states at the Fermi level in states/eV/f.u.: 5.962


[11]
# Y3HgRu

A relaxed structure of Y3HgRu (PBE-GGA, the Alexandria database).

Lattice parameters (Å, degrees): 5.563 6.484 8.672 111.99 79.84 118.12
Element x y z (fractional)
Y: 0.862 0.805 0.725
Ru: 0.000 0.751 0.002
Hg: 0.587 0.243 0.499
Hg: 0.413 0.757 0.501
Y: 0.137 0.418 0.725
Y: 0.138 0.195 0.275
Y: 0.863 0.582 0.275
Y: 0.500 0.804 0.107
Ru: 0.000 0.249 0.998
Y: 0.500 0.196 0.893

ΔH_f (0 K) in eV/f.u.: -2.01
Distance to the lowest polymorph of the same formula in meV/atom: 0.0
Density of states at the Fermi level in states/eV/f.u.: 3.486


[12]
# YHg2Ru

A relaxed structure of YHg2Ru (PBE-GGA, the Alexandria database).

Lattice parameters (Å, degrees): 4.909 4.909 4.909 60.00 60.00 60.00
Element x y z (fractional)
Hg: 0.250 0.250 0.250
Ru: 0.500 0.500 0.500
Hg: 0.000 0.000 0.000
Y: 0.750 0.750 0.750

ΔH_f (0 K) in eV/f.u.: 0.28
Distance to the lowest polymorph of the same formula in meV/atom: 207.8
Density of states at the Fermi level in states/eV/f.u.: 3.529